Entry 1:
DFT (PBE) results for a relaxed structure of CdPOs2.

Summary:
* density: 13.82 Mg/m³
* crystal system: orthorhombic
* energy relative to the lowest polymorph listed for this composition: 0.6995 eV per atom
* DFT formation energy: 3.544 eV/f.u.
* size of the total moment: 0.0 μB/cell

Cell lengths 2.9081, 4.8121, 4.4966 Å; angles 90.00, 90.00, 90.00 degrees
Closest atoms and distances in Å follow each position.
Atoms (fractional coordinates):
Cd (0.0000, 0.5000, 0.5000)  4 Os 2.68, 4 P 2.81, 2 Cd 2.91
Os (0.0000, 0.0000, 0.0000)  4 P 2.68, 6 Os 2.81-2.91
Os (0.5000, 0.5000, 0.0000)  4 Cd 2.68, 6 Os 2.81-2.91
P (0.5000, 0.0000, 0.5000)  4 Os 2.68, 4 Cd 2.81, 2 P 2.91

Entry 2:
DFT (PBE) results for a relaxed structure of CdPOs.

Summary:
* density: 10.84 Mg/m³
* crystal system: cubic
* DFT formation energy: 1.861 eV/f.u.
* size of the total moment: 0.0 μB/cell

Cell lengths 4.1653, 4.1653, 4.1653 Å; angles 60.00, 60.00, 60.00 degrees
Closest atoms and distances in Å follow each position.
Atoms (fractional coordinates):
Os (0.5000, 0.5000, 0.5000)  4 P 2.55
P (0.2500, 0.2500, 0.2500)  4 Cd 2.55, 4 Os 2.55
Cd (0.0000, 0.0000, 0.0000)  4 P 2.55

Entry 3:
DFT (PBE) results for a relaxed structure of CdP2Os2.

Summary:
* density: 11.56 Mg/m³
* crystal system: tetragonal
* DFT formation energy: -0.181 eV/f.u.
* size of the total moment: 0.0 μB/cell

Cell lengths 3.7452, 3.7452, 6.2695 Å; angles 72.62, 72.62, 90.00 degrees
Closest atoms and distances in Å follow each position.
Atoms (fractional coordinates):
P (0.7500, 0.2500, 0.5000)  4 Os 2.33
P (0.2500, 0.7500, 0.5000)  4 Os 2.33
Os (0.6274, 0.6274, 0.7451)  4 P 2.33
Os (0.3726, 0.3726, 0.2549)  4 P 2.33
Cd (0.0000, 0.0000, 0.0000)  8 Os 3.02

Entry 4:
DFT (PBE) results for a relaxed structure of CdPOs2.

Summary:
* density: 13.35 Mg/m³
* crystal system: orthorhombic
* energy relative to the lowest polymorph listed for this composition: 0.2193 eV per atom
* DFT formation energy: 1.623 eV/f.u.
* size of the total moment: 0.0 μB/cell

Cell lengths 2.8491, 3.6044, 6.3444 Å; angles 90.00, 90.00, 90.00 degrees
Closest atoms and distances in Å follow each position.
Atoms (fractional coordinates):
Cd (0.5000, 0.5000, 0.7588)  2 Cd 2.85, 5 Os 2.92-3.04, 4 P 3.15
Os (0.0000, 0.0000, 0.0435)  1 P 2.38
Os (0.5000, 0.5000, 0.2791)  4 P 2.46, 4 Os 2.74
P (0.0000, 0.0000, 0.4185)  5 Os 2.38-2.46

Entry 5:
DFT (PBE) results for a relaxed structure of CdPOs2.

Summary:
* density: 14.50 Mg/m³
* crystal system: tetragonal
* energy relative to the lowest polymorph listed for this composition: 0.0924 eV per atom
* DFT formation energy: 1.116 eV/f.u.
* size of the total moment: 0.0 μB/cell

Cell lengths 2.9232, 2.9232, 7.0183 Å; angles 90.00, 90.00, 90.00 degrees
Closest atoms and distances in Å follow each position.
Atoms (fractional coordinates):
Cd (0.5000, 0.5000, 0.7500)  4 Cd 2.92, 8 Os 2.98
Os (0.0000, 0.0000, 0.0567)  4 P 2.47, 1 Os 2.71
Os (0.0000, 0.0000, 0.4433)  4 P 2.47, 1 Os 2.71
P (0.5000, 0.5000, 0.2500)  8 Os 2.47

Entry 6:
DFT (PBE) results for a relaxed structure of CdPOs2.

Summary:
* density: 14.01 Mg/m³
* crystal system: tetragonal
* energy relative to the lowest polymorph listed for this composition: 0.6773 eV per atom
* DFT formation energy: 3.455 eV/f.u.
* size of the total moment: 0.0 μB/cell

Cell lengths 4.7221, 4.7221, 4.7221 Å; angles 128.90, 128.90, 75.17 degrees
Closest atoms and distances in Å follow each position.
Atoms (fractional coordinates):
Os (0.0000, 0.0000, 0.0000)  4 Cd 2.77, 4 Os 2.77, 4 P 2.88
Os (0.2500, 0.7500, 0.5000)  4 P 2.77, 4 Os 2.77, 4 Cd 2.88
P (0.5000, 0.5000, 0.0000)  8 Os 2.77-2.88, 4 Cd 2.77
Cd (0.7500, 0.2500, 0.5000)  8 Os 2.77-2.88, 4 P 2.77

Entry 7:
DFT (PBE) results for a relaxed structure of CdPOs2.

Summary:
* density: 13.96 Mg/m³
* crystal system: monoclinic
* energy relative to the lowest polymorph listed for this composition: 0.1637 eV per atom
* DFT formation energy: 1.401 eV/f.u.
* size of the total moment: 0.0 μB/cell

Cell lengths 3.7473, 2.9691, 5.7842 Å; angles 75.44, 90.00, 90.00 degrees
Closest atoms and distances in Å follow each position.
Atoms (fractional coordinates):
Cd (0.5000, 0.7500, 0.7500)  8 Os 2.89-2.91, 2 P 2.90, 2 Cd 2.97
P (0.5000, 0.2500, 0.2500)  4 Os 2.31
Os (0.0000, 0.3870, 0.4560)  2 P 2.31
Os (0.0000, 0.1130, 0.0440)  2 P 2.31

Entry 8:
DFT (PBE) results for a relaxed structure of Cd2P2Os.

Summary:
* density: 7.75 Mg/m³
* crystal system: tetragonal
* energy relative to the lowest polymorph listed for this composition: 0.8190 eV per atom
* DFT formation energy: 4.266 eV/f.u.
* size of the total moment: 0.7 μB/cell

Cell lengths 3.5623, 3.5623, 8.4410 Å; angles 77.82, 77.82, 90.00 degrees
Closest atoms and distances in Å follow each position.
Atoms (fractional coordinates):
Cd (0.2500, 0.7500, 0.5000)  4 Cd 2.52
Cd (0.7500, 0.2500, 0.5000)  4 Cd 2.52
P (0.4321, 0.4321, 0.1357)  1 P 2.19
P (0.5679, 0.5679, 0.8643)  1 P 2.19
Os (0.0000, 0.0000, 0.0000)  8 P 2.75

Entry 9:
DFT (PBE) results for a relaxed structure of CdPOs2.

Summary:
* density: 13.31 Mg/m³
* crystal system: orthorhombic
* energy relative to the lowest polymorph listed for this composition: 0.0717 eV per atom
* DFT formation energy: 1.033 eV/f.u.
* size of the total moment: 0.0 μB/cell

Cell lengths 7.5470, 7.5470, 7.5470 Å; angles 156.25, 157.80, 32.73 degrees
Closest atoms and distances in Å follow each position.
Atoms (fractional coordinates):
P (0.5491, 0.5491, 0.0000)  6 Os 2.29-2.36
Os (0.9792, 0.9792, 0.0000)  4 P 2.36
Os (0.6651, 0.1651, 0.5000)  2 P 2.29
Cd (0.3066, 0.8066, 0.5000)  6 Os 2.89-2.95, 4 Cd 2.91-3.11

Entry 10:
DFT (PBE) results for a relaxed structure of CdP4Os.

Summary:
* density: 7.64 Mg/m³
* crystal system: cubic
* DFT formation energy: 6.031 eV/f.u.
* size of the total moment: 0.0 μB/cell

Cell lengths 5.0809, 5.0809, 5.0809 Å; angles 60.00, 60.00, 60.00 degrees
Closest atoms and distances in Å follow each position.
Atoms (fractional coordinates):
P (0.6257, 0.1228, 0.6257)  6 P 2.53-2.56
P (0.6257, 0.6257, 0.6257)  6 P 2.53-2.56
P (0.6257, 0.6257, 0.1228)  6 P 2.53-2.56
P (0.1228, 0.6257, 0.6257)  6 P 2.53-2.56
Cd (0.2500, 0.2500, 0.2500)  12 P 2.98, 4 Os 3.11
Os (0.0000, 0.0000, 0.0000)  12 P 2.98, 4 Cd 3.11

Entry 11:
DFT (PBE) results for a relaxed structure of CdPOs.

Summary:
* density: 10.42 Mg/m³
* crystal system: hexagonal
* DFT formation energy: 0.487 eV/f.u.
* size of the total moment: 0.0 μB/cell

Cell lengths 3.9336, 3.9336, 3.9675 Å; angles 90.00, 90.00, 120.00 degrees
Closest atoms and distances in Å follow each position.
Atoms (fractional coordinates):
Cd (0.0000, 0.0000, 0.0001)  6 P 3.01-3.02, 6 Os 3.02
Os (0.6667, 0.3333, 0.5002)  3 P 2.27
P (0.3333, 0.6667, 0.4998)  3 Os 2.27

Entry 12:
DFT (PBE) results for a relaxed structure of Cd4POs.

Summary:
* density: 9.50 Mg/m³
* crystal system: cubic
* DFT formation energy: 5.024 eV/f.u.
* size of the total moment: 0.0 μB/cell

Cell lengths 5.4934, 5.4934, 5.4934 Å; angles 60.00, 60.00, 60.00 degrees
Closest atoms and distances in Å follow each position.
Atoms (fractional coordinates):
Cd (0.3755, 0.8736, 0.3755)  6 Cd 2.74-2.76
Cd (0.8736, 0.3755, 0.3755)  6 Cd 2.74-2.76
Cd (0.3755, 0.3755, 0.8736)  6 Cd 2.74-2.76
Cd (0.3755, 0.3755, 0.3755)  6 Cd 2.74-2.76
Os (0.7500, 0.7500, 0.7500)  12 Cd 3.22, 4 P 3.36
P (0.0000, 0.0000, 0.0000)  12 Cd 3.22, 4 Os 3.36